Record 1
DFT (PBE) results for Ba5HgAu after structural relaxation.

abc: 4.8158 9.4337 15.2820
angles: 87.53 90.00 90.00
With the nearest neighbours (Å) after each atom.
Atoms (fractional coordinates):
1 Hg 0.2500 0.9156 0.8393  7 Ba 3.53-3.64
2 Au 0.2500 0.4314 0.3489  7 Ba 3.30-3.55
3 Ba 0.7500 0.9400 0.6704  1 Au 3.53, 2 Hg 3.53
4 Ba 0.7500 0.3207 0.4831  3 Au 3.30-3.55
5 Ba 0.7500 0.6544 0.2785  2 Au 3.35
6 Ba 0.2500 0.3456 0.7215  2 Au 3.35
7 Ba 0.2500 0.8543 0.0733  3 Hg 3.54-3.60
8 Au 0.7500 0.5686 0.6511  7 Ba 3.30-3.55
9 Ba 0.7500 0.1457 0.9267  3 Hg 3.54-3.60
10 Hg 0.7500 0.0844 0.1607  7 Ba 3.53-3.64
11 Ba 0.2500 0.3698 0.1238  1 Au 3.51, 2 Hg 3.64
12 Ba 0.2500 0.0600 0.3296  1 Au 3.53, 2 Hg 3.53
13 Ba 0.7500 0.6302 0.8762  1 Au 3.51, 2 Hg 3.64
14 Ba 0.2500 0.6793 0.5169  3 Au 3.30-3.55

Calculated values
- space-group type = No. 11
- total magnetic moment (μB per cell) = 0.00
- density (Mg/m³) = 5.19
- calculated formation energy (eV per atom) = -0.343

Record 2
DFT (PBE) results for CaAgAs after structural relaxation.

abc: 4.6160 4.6159 8.0062
angles: 106.68 106.68 60.05
With the nearest neighbours (Å) after each atom.
Atoms (fractional coordinates):
1 As 0.7165 0.2891 0.4377  2 Ag 2.97-2.98, 6 Ca 2.99
2 As 0.2166 0.7892 0.9381  6 Ag 2.78-2.79
3 Ca 0.4427 0.0153 0.6175  3 As 2.99, 4 Ag 3.11-3.21
4 Ca 0.9901 0.5627 0.2572  3 As 2.99, 4 Ag 3.12-3.22
5 Ag 0.8474 0.4201 0.8311  4 As 2.79-2.97, 3 Ag 3.10-3.11, 3 Ca 3.11-3.12
6 Ag 0.5851 0.1577 0.0431  4 As 2.78-2.98, 3 Ag 3.10-3.11

Calculated values
- space-group type = No. 8
- total magnetic moment (μB per cell) = 0.00
- density (Mg/m³) = 5.31
- calculated formation energy (eV per atom) = -0.649

Record 3
DFT (PBE) results for LiNdNp2O8 after structural relaxation.

abc: 5.0436 5.0460 6.9875
angles: 90.00 90.00 86.44
With the nearest neighbours (Å) after each atom.
Atoms (fractional coordinates):
1 Np 0.5000 0.5000 0.7573  4 O 1.94-2.12
2 Li 0.0000 0.0000 0.0000  6 O 2.26-2.40
3 O 0.3242 0.3221 0.5000  2 Np 2.22, 1 Nd 2.38
4 O 0.3277 0.3261 0.0000  2 Np 2.12
5 O 0.7826 0.2197 0.2397  1 Np 1.94
6 O 0.7826 0.2196 0.7603  1 Np 1.94
7 O 0.2174 0.7803 0.7603  1 Np 1.94
8 O 0.6723 0.6739 0.0000  2 Np 2.12
9 O 0.2174 0.7804 0.2397  1 Np 1.94
10 Nd 0.0000 0.0000 0.5000  6 O 2.36-2.38
11 Np 0.5000 0.5000 0.2427  4 O 1.94-2.12
12 O 0.6758 0.6779 0.5000  2 Np 2.22, 1 Nd 2.38

Calculated values
- space-group type = No. 10
- total magnetic moment (μB per cell) = 2.00
- ΔE_f (raw) (eV/f.u.) = -33.8
- density (Mg/m³) = 7.05

Record 4
DFT (PBE) results for PPdCl2 after structural relaxation.

abc: 4.4072 4.4072 8.6888
angles: 75.31 75.31 90.00
With the nearest neighbours (Å) after each atom.
Atoms (fractional coordinates):
1 P 0.5000 0.5000 0.0000  4 Cl 2.55
2 Cl 0.3750 0.3793 0.7500  2 P 2.55, 2 Pd 2.57
3 Pd 0.0000 0.0000 0.0000  4 Cl 2.57
4 Cl 0.8750 0.8707 0.7500  2 P 2.55, 2 Pd 2.57
5 P 0.2500 0.7500 0.5000  4 Cl 2.55
6 Cl 0.6207 0.1250 0.2500  2 P 2.55, 2 Pd 2.57
7 Pd 0.7500 0.2500 0.5000  4 Cl 2.57
8 Cl 0.1293 0.6250 0.2500  2 P 2.55, 2 Pd 2.57

Calculated values
- space-group type = No. 122
- total magnetic moment (μB per cell) = 0.00
- ΔE_f (raw) (eV/f.u.) = 1.5
- density (Mg/m³) = 4.39

Record 5
DFT (PBE) results for YTeOsN2 after structural relaxation.

abc: 4.0154 4.0154 5.5095
angles: 90.00 90.00 90.00
With the nearest neighbours (Å) after each atom.
Atoms (fractional coordinates):
1 Os 0.0000 0.0000 0.0000  4 N 2.01
2 Te 0.0000 0.0000 0.5000  2 Os 2.75, 4 Y 2.84
3 Y 0.5000 0.5000 0.5000  4 Te 2.84
4 N 0.0000 0.5000 0.0000  2 Os 2.01
5 N 0.5000 0.0000 0.0000  2 Os 2.01

Calculated values
- space-group type = No. 123
- total magnetic moment (μB per cell) = 0.00
- ΔE_f (raw) (eV/f.u.) = 1.4
- density (Mg/m³) = 8.13

Record 6
DFT (PBE) results for Ag2SnBiTe4 after structural relaxation.

abc: 4.3862 7.5585 7.4545
angles: 109.88 90.00 90.00
With the nearest neighbours (Å) after each atom.
Atoms (fractional coordinates):
1 Ag 0.5000 0.0000 0.5000  6 Te 3.02
2 Sn 0.5000 0.5000 0.0000  6 Te 3.12-3.13
3 Te 0.5000 0.2581 0.2666  3 Ag 3.00-3.02, 1 Sn 3.12, 2 Bi 3.15
4 Bi 0.0000 0.0000 0.0000  6 Te 3.15-3.16
5 Ag 0.0000 0.5000 0.5000  6 Te 2.99-3.00
6 Te 0.0000 0.7518 0.2663  3 Ag 2.99-3.02, 2 Sn 3.13, 1 Bi 3.16
7 Te 0.0000 0.2482 0.7337  3 Ag 2.99-3.02, 2 Sn 3.13, 1 Bi 3.16
8 Te 0.5000 0.7419 0.7334  3 Ag 3.00-3.02, 1 Sn 3.12, 2 Bi 3.15

Calculated values
- space-group type = No. 10
- total magnetic moment (μB per cell) = 0.00
- ΔE_f (raw) (eV/f.u.) = -1.3
- density (Mg/m³) = 7.53

Record 7
DFT (PBE) results for PmSc2Tc after structural relaxation.

abc: 3.3025 3.3025 8.5841
angles: 90.00 90.00 90.00
With the nearest neighbours (Å) after each atom.
Atoms (fractional coordinates):
1 Sc 0.0000 0.0000 0.8221  4 Tc 2.79, 1 Sc 3.05
2 Sc 0.0000 0.0000 0.1779  4 Tc 2.79, 1 Sc 3.05
3 Tc 0.5000 0.5000 0.0000  8 Sc 2.79
4 Pm 0.5000 0.5000 0.5000  4 Pm 3.30, 8 Sc 3.62

Calculated values
- space-group type = No. 123
- total magnetic moment (μB per cell) = 0.00
- density (Mg/m³) = 5.90
- calculated formation energy (eV per atom) = -0.099

Record 8
DFT (PBE) results for BaCaEr after structural relaxation.

abc: 4.0517 4.0517 16.0631
angles: 90.00 90.00 90.00
With the nearest neighbours (Å) after each atom.
Atoms (fractional coordinates):
1 Er 0.5000 0.0000 0.0554  4 Er 3.37, 4 Ca 3.67
2 Ba 0.0000 0.5000 0.6084  8 Ba 4.05-4.51, 4 Ca 4.23
3 Ca 0.0000 0.5000 0.1982  5 Er 3.67-4.08, 4 Ca 4.05
4 Ba 0.5000 0.0000 0.3916  8 Ba 4.05-4.51, 4 Ca 4.23
5 Ca 0.5000 0.0000 0.8018  5 Er 3.67-4.08, 4 Ca 4.05
6 Er 0.0000 0.5000 0.9446  4 Er 3.37, 4 Ca 3.67

Calculated values
- space-group type = No. 129
- total magnetic moment (μB per cell) = 0.00
- density (Mg/m³) = 4.34
- calculated formation energy (eV per atom) = 0.104

Record 9
DFT (PBE) results for La5SmDyHo2 after structural relaxation.

abc: 5.5091 11.2432 10.6560
angles: 90.00 90.00 104.18
With the nearest neighbours (Å) after each atom.
Atoms (fractional coordinates):
1 Ho 0.8871 0.7742 0.7574  1 Sm 3.43, 9 La 3.61-3.84, 2 Dy 3.84
2 Ho 0.1130 0.2259 0.7589  1 Sm 3.44, 9 La 3.61-3.84, 2 Dy 3.84
3 La 0.9995 0.9989 0.5082  2 Dy 3.51, 4 Ho 3.61-3.64, 6 La 3.83-3.85
4 La 0.5000 0.9999 0.2582  2 Dy 3.45, 4 Ho 3.69, 6 La 3.78-3.83
5 Ho 0.1129 0.2258 0.2574  1 Sm 3.43, 9 La 3.61-3.84, 2 Dy 3.84
6 La 0.2795 0.5591 0.6980  2 La 3.30, 1 Dy 3.31, 3 Sm 3.42-3.61, 3 Ho 3.67-3.69
7 La 0.7206 0.4411 0.8186  2 La 3.30, 1 Dy 3.31, 3 Sm 3.42-3.61, 3 Ho 3.67-3.69
8 La 0.0005 0.0011 0.0082  2 Dy 3.51, 4 Ho 3.61-3.64, 6 La 3.83-3.85
9 Sm 0.7872 0.5743 0.5083  7 La 3.42-3.61, 2 Ho 3.43-3.44, 2 Dy 3.69
10 Dy 0.6003 0.2006 0.0082  6 La 3.31-3.51, 2 Sm 3.69
11 Sm 0.2128 0.4257 0.0083  7 La 3.42-3.61, 2 Ho 3.43-3.44, 2 Dy 3.69
12 Ho 0.8870 0.7741 0.2589  1 Sm 3.44, 9 La 3.61-3.84, 2 Dy 3.84
13 La 0.2794 0.5589 0.3186  2 La 3.30, 1 Dy 3.31, 3 Sm 3.42-3.61, 3 Ho 3.67-3.69
14 La 0.7205 0.4409 0.1980  2 La 3.30, 1 Dy 3.31, 3 Sm 3.42-3.61, 3 Ho 3.67-3.69
15 La 0.3770 0.7540 0.0082  1 Sm 3.58, 6 La 3.78-3.93, 4 Ho 3.84
16 La 0.5000 0.0001 0.7582  2 Dy 3.45, 4 Ho 3.69, 6 La 3.78-3.83
17 Dy 0.3997 0.7994 0.5082  6 La 3.31-3.51, 2 Sm 3.69
18 La 0.6230 0.2460 0.5082  1 Sm 3.58, 6 La 3.78-3.93, 4 Ho 3.84

Calculated values
- space-group type = No. 63
- total magnetic moment (μB per cell) = 0.00
- density (Mg/m³) = 6.94
- calculated formation energy (eV per atom) = 0.127

Record 10
DFT (PBE) results for Zr6PdPt after structural relaxation.

abc: 8.1919 8.1919 8.1919
angles: 146.51 146.51 48.08
With the nearest neighbours (Å) after each atom.
Atoms (fractional coordinates):
1 Zr 0.8870 0.3870 0.5000  2 Pt 2.90, 2 Pd 2.90, 4 Zr 3.13
2 Zr 0.3870 0.8870 0.5000  2 Pt 2.90, 2 Pd 2.90, 4 Zr 3.13
3 Pt 0.5000 0.5000 0.0000  8 Zr 2.90
4 Pd 0.0000 0.0000 0.0000  8 Zr 2.90
5 Zr 0.6130 0.1130 0.5000  2 Pd 2.90, 2 Pt 2.90, 4 Zr 3.13
6 Zr 0.1130 0.6130 0.5000  2 Pd 2.90, 2 Pt 2.90, 4 Zr 3.13
7 Zr 0.7500 0.7500 0.0000  12 Zr 3.13-3.34
8 Zr 0.2500 0.2500 0.0000  12 Zr 3.13-3.34

Calculated values
- space-group type = No. 139
- total magnetic moment (μB per cell) = 0.00
- density (Mg/m³) = 8.46
- calculated formation energy (eV per atom) = -0.453